1.
VASP calculation (PBE-GGA) on a relaxed structure of Tm2MnCdC.

a b c (Å): 4.945 4.945 3.794
angles (deg): 90.00 90.00 90.00
Space group P4/mmm (No. 123)
Unique sites:
Tm (0.000, 0.500, 0.000)
Mn (0.000, 0.000, 0.500)
Cd (0.500, 0.500, 0.500)
C (0.000, 0.000, 0.000)

Properties
**Crystal system**: tetragonal
**ΔE_f**: -1.456 eV per formula unit
**Total magnetic moment**: 1.080 μB per cell


2.
VASP calculation (PBE-GGA) on a relaxed structure of Cd3MoC.

a b c (Å): 4.588 4.588 4.588
angles (deg): 90.00 90.00 90.00
Space group Pm-3m (No. 221)
Unique sites:
Cd (0.000, 0.000, 0.500)
Mo (0.500, 0.500, 0.500)
C (0.000, 0.000, 0.000)

Properties
**Crystal system**: cubic
**Excess energy over the best structure of this formula in the dataset**: 0 meV per atom
**ΔE_f**: 6.851 eV per formula unit
**Total magnetic moment**: 3.524 μB per cell


3.
VASP calculation (PBE-GGA) on a relaxed structure of Cd3MoC.

a b c (Å): 5.563 5.563 5.563
angles (deg): 90.00 90.00 90.00
Space group Pm-3m (No. 221)
Unique sites:
Cd (0.000, 0.000, 0.500)
Mo (0.000, 0.000, 0.000)
C (0.500, 0.500, 0.500)

Properties
**Crystal system**: cubic
**Excess energy over the best structure of this formula in the dataset**: 951 meV per atom
**ΔE_f**: 11.604 eV per formula unit
**Total magnetic moment**: 6.282 μB per cell


4.
VASP calculation (PBE-GGA) on a relaxed structure of CdMo2C.

a b c (Å): 6.112 6.112 6.112
angles (deg): 90.00 90.00 90.00
Space group Fm-3m (No. 225)
Unique sites:
Cd (0.000, 0.000, 0.000)
Mo (0.250, 0.250, 0.250)
C (0.000, 0.000, 0.500)

Properties
**Crystal system**: cubic
**Excess energy over the best structure of this formula in the dataset**: 488 meV per atom
**ΔE_f**: 6.247 eV per formula unit
**Total magnetic moment**: 0.000 μB per cell